Record 1
VASP calculation (GGA-PBE) on a relaxed structure of Fe2CuSbH.

The structure in POSCAR format:
```
Fe2CuSbH
1.0
3.8136 0.0000 0.0000
0.0000 3.8136 0.0000
0.0000 0.0000 4.0257
Sb Fe H Cu
1 2 1 1
Direct
0.5000 0.5000 0.5000
0.0000 0.5000 0.0000
0.5000 0.0000 0.0000
0.0000 0.0000 0.0000
0.0000 0.0000 0.5000
```

space group: P4/mmm, No. 123
M_tot: 4.48 Bohr magnetons per cell
final energy: -27.59 eV/cell

---

Record 2
VASP calculation (GGA-PBE) on a relaxed structure of Ag7PbF12.

The structure in POSCAR format:
```
Ag7PbF12
1.0
7.0268 0.0000 -2.4844
-3.5134 6.0854 -2.4844
0.0000 0.0000 7.4531
F Pb Ag
12 1 7
Direct
0.7156 0.1685 0.8841
0.8315 0.1159 0.2844
0.1685 0.4529 0.2844
0.1685 0.8841 0.7156
0.2844 0.1685 0.4529
0.8315 0.5471 0.7156
0.1159 0.2844 0.8315
0.2844 0.8315 0.1159
0.4529 0.2844 0.1685
0.8841 0.7156 0.1685
0.5471 0.7156 0.8315
0.7156 0.8315 0.5471
0.0000 0.0000 0.0000
0.5000 0.0000 0.0000
0.0000 0.5000 0.0000
0.0000 0.0000 0.5000
0.5000 0.5000 0.5000
0.0000 0.5000 0.5000
0.5000 0.5000 0.0000
0.5000 0.0000 0.5000
```

space group: Im-3, No. 204
M_tot: 0.01 Bohr magnetons per cell
final energy: -71.20 eV/cell

---

Record 3
VASP calculation (GGA-PBE) on a relaxed structure of Ca3Sm3CdS8.

The structure in POSCAR format:
```
Ca3Sm3CdS8
1.0
7.9998 0.0000 0.0000
-3.9999 6.9280 -0.0241
0.0000 -4.5958 6.6028
S Sm Ca Cd
8 3 3 1
Direct
0.7498 0.4995 0.7493
0.2450 0.9968 0.7418
0.7517 0.9968 0.7418
0.7550 0.0032 0.2582
0.2450 0.4900 0.7418
0.2483 0.0032 0.2582
0.7550 0.5100 0.2582
0.2502 0.5005 0.2507
0.0000 0.5000 0.5000
0.5000 0.0000 0.5000
0.5000 0.5000 0.5000
0.5000 0.5000 0.0000
0.0000 0.0000 0.0000
0.0000 0.5000 0.0000
0.0000 0.0000 0.5000
```

space group: R-3m, No. 166
M_tot: 0.00 Bohr magnetons per cell
final energy: -81.86 eV/cell

---

Which of these has the lowest M_tot? Ca3Sm3CdS8